Compound: Rb2PdI4Br2
Source: Alexandria via LeMat-Bulk
Functional: GGA-PBE
Structure: optimized geometry

Lattice parameters (Å, degrees): 7.962 7.962 7.962 120.72 120.72 88.76
Element x y z (fractional)
Rb1 0.250 0.750 0.500
Rb2 0.750 0.250 0.500
Pd1 0.000 0.000 0.000
I1 0.244 0.244 0.489
I2 0.244 0.756 0.000
I3 0.756 0.244 0.000
I4 0.756 0.756 0.511
Br1 0.222 0.222 0.000
Br2 0.778 0.778 0.000

Calculated values
Magnetic moment ... 0.000 μB/atom
Crystal system ... tetragonal
Space-group type ... I4/mmm (139)
DOS at the Fermi energy ... 1.9 states/eV per cell
Total DFT energy (no corrections) ... -2.657 eV per atom
Formation energy from raw total energies ... -0.804 eV per atom

***

Compound: SrWBr
Source: Alexandria via LeMat-Bulk
Functional: GGA-PBE
Structure: optimized geometry

Lattice parameters (Å, degrees): 6.992 6.992 6.992 153.15 153.15 38.34
Element x y z (fractional)
Sr1 0.000 0.000 0.000
W1 0.320 0.320 0.000
Br1 0.688 0.688 0.000

Calculated values
Magnetic moment ... 0.063 μB/atom
Energy above the lowest structure with this stoichiometry ... 0.000 eV/atom
Crystal system ... tetragonal
Space-group type ... I4mm (107)
DOS at the Fermi energy ... 2.1 states/eV per cell
Total DFT energy (no corrections) ... -4.643 eV per atom
Formation energy from raw total energies ... 0.793 eV per atom

***

Compound: PmPr12Dy2
Source: Alexandria via LeMat-Bulk
Functional: GGA-PBE
Structure: optimized geometry

Lattice parameters (Å, degrees): 6.916 6.916 25.295 90.00 90.00 116.53
Element x y z (fractional)
Pm1 0.250 0.750 0.999
Pm2 0.750 0.250 0.001
Pr1 0.002 0.502 0.869
Pr2 0.003 0.997 0.074
Pr3 0.020 0.520 0.415
Pr4 0.025 0.975 0.560
Pr5 0.250 0.250 0.199
Pr6 0.250 0.250 0.325
Pr7 0.250 0.250 0.675
Pr8 0.250 0.250 0.801
Pr9 0.475 0.525 0.560
Pr10 0.480 0.980 0.415
Pr11 0.497 0.503 0.074
Pr12 0.498 0.998 0.869
Pr13 0.502 0.002 0.131
Pr14 0.503 0.497 0.926
Pr15 0.520 0.020 0.585
Pr16 0.525 0.475 0.440
Pr17 0.750 0.750 0.199
Pr18 0.750 0.750 0.325
Pr19 0.750 0.750 0.675
Pr20 0.750 0.750 0.801
Pr21 0.975 0.025 0.440
Pr22 0.980 0.480 0.585
Pr23 0.997 0.003 0.926
Pr24 0.998 0.498 0.131
Dy1 0.250 0.750 0.267
Dy2 0.250 0.750 0.729
Dy3 0.750 0.250 0.271
Dy4 0.750 0.250 0.733

Calculated values
Magnetic moment ... 0.000 μB/atom
Crystal system ... orthorhombic
Space-group type ... Cmme (67)
DOS at the Fermi energy ... 42.6 states/eV per cell
Total DFT energy (no corrections) ... -4.604 eV per atom
Formation energy ... 0.150 eV per atom